No. 1
Compound: CdNiMoPb
Source: the Open Quantum Materials Database
Functional: PBE-GGA
Structure: relaxed

Cell: 6.6061 6.6061 6.6061 Å, 90.00 90.00 90.00°
With the nearest neighbours (Å) after each atom.
Space group F-43m (No. 216)
Inequivalent atoms, fractional coordinates:
Cd1 0.0000 0.0000 0.0000 [4 per cell]  4 Mo 2.86, 4 Ni 2.86
Ni1 0.2500 0.2500 0.7500 [4 per cell]  4 Cd 2.86, 4 Pb 2.86
Mo1 0.2500 0.2500 0.2500 [4 per cell]  4 Cd 2.86, 4 Pb 2.86
Pb1 0.0000 0.0000 0.5000 [4 per cell]  4 Mo 2.86, 4 Ni 2.86

Computed properties:
Magnetic moment, μB/atom: 0.32
Total DFT energy (no corrections), eV per atom: -4.637
Calculated volume, Å³/atom: 18.0

=====

No. 2
Compound: Ta14Ni
Source: the Open Quantum Materials Database
Functional: PBE-GGA
Structure: relaxed

Cell: 10.1134 10.1134 5.3006 Å, 90.00 90.00 90.00°
With the nearest neighbours (Å) after each atom.
Space group P4_2/mnm (No. 136)
Inequivalent atoms, fractional coordinates:
Ta1 0.0347 0.3695 0.0000 [8 per cell]  6 Ta 2.73-2.92
Ta2 0.0638 0.2538 0.5000 [8 per cell]  1 Ni 2.65, 9 Ta 2.72-2.93
Ta3 0.1014 0.1014 0.0000 [4 per cell]  7 Ta 2.79-3.09, 2 Ni 3.02
Ta4 0.1847 0.8153 0.2481 [8 per cell]  6 Ta 2.63-2.93
Ni1 0.0000 0.0000 0.5000 [2 per cell]  8 Ta 2.65-2.96

Computed properties:
ΔH_f (0 K), meV/atom: -11.3
Magnetic moment, μB/atom: 0.00
Total DFT energy (no corrections), eV per atom: -11.445
Calculated volume, Å³/atom: 18.1

=====

No. 3
Compound: LuTlCoPt
Source: the Open Quantum Materials Database
Functional: PBE-GGA
Structure: relaxed

Cell: 6.6879 6.6879 6.6879 Å, 90.00 90.00 90.00°
With the nearest neighbours (Å) after each atom.
Space group F-43m (No. 216)
Inequivalent atoms, fractional coordinates:
Lu1 0.0000 0.0000 0.0000 [4 per cell]  4 Tl 2.90, 4 Pt 2.90
Tl1 0.2500 0.2500 0.2500 [4 per cell]  4 Co 2.90, 4 Lu 2.90
Co1 0.0000 0.0000 0.5000 [4 per cell]  4 Pt 2.90, 4 Tl 2.90
Pt1 0.2500 0.2500 0.7500 [4 per cell]  4 Co 2.90, 4 Lu 2.90

Computed properties:
Polymorph energy (0 for the lowest one), eV per formula unit: 0.76
Magnetic moment, μB/atom: 0.38
Total DFT energy (no corrections), eV per atom: -5.161
Calculated volume, Å³/atom: 18.7

=====

No. 4
Compound: Ag15Hg
Source: the Open Quantum Materials Database
Functional: PBE-GGA
Structure: relaxed

Cell: 5.7844 2.8910 41.8451 Å, 90.00 90.07 90.00°
With the nearest neighbours (Å) after each atom.
Space group P2_1/m (No. 11)
Inequivalent atoms, fractional coordinates:
Ag1 0.1234 0.2500 0.1740 [2 per cell]  10 Ag 2.89-2.95, 2 Hg 3.19
Ag2 0.1231 0.2500 0.2749 [2 per cell]  12 Ag 2.88-2.94
Ag3 0.1247 0.2500 0.3750 [2 per cell]  12 Ag 2.89-2.93
Ag4 0.1249 0.2500 0.4751 [2 per cell]  12 Ag 2.89-2.93
Ag5 0.1252 0.2500 0.5749 [2 per cell]  12 Ag 2.89-2.93
Ag6 0.1260 0.2500 0.6749 [2 per cell]  12 Ag 2.89-2.93
Ag7 0.1264 0.2500 0.7759 [2 per cell]  12 Ag 2.89-2.95
Ag8 0.3728 0.7500 0.1236 [2 per cell]  6 Ag 2.89-2.94, 2 Hg 2.91
Ag9 0.3736 0.7500 0.2248 [2 per cell]  12 Ag 2.89-2.95
Ag10 0.3741 0.7500 0.3249 [2 per cell]  12 Ag 2.89-2.93
Ag11 0.3745 0.7500 0.4251 [2 per cell]  12 Ag 2.89-2.93
Ag12 0.3753 0.7500 0.5250 [2 per cell]  12 Ag 2.89-2.93
Ag13 0.3755 0.7500 0.7252 [2 per cell]  12 Ag 2.88-2.95
Ag14 0.3756 0.7500 0.6249 [2 per cell]  12 Ag 2.89-2.93
Ag15 0.3769 0.7500 0.8261 [2 per cell]  10 Ag 2.89-2.95, 2 Hg 3.19
Hg1 0.1270 0.2500 0.8844 [2 per cell]  2 Hg 2.89, 6 Ag 2.91-3.19

Computed properties:
ΔH_f (0 K), meV/atom: 40.9
Polymorph energy (0 for the lowest one), eV per formula unit: 0.05
Total DFT energy (no corrections), eV per atom: -2.625
Calculated volume, Å³/atom: 21.9

=====

No. 5
Compound: ErAg2
Source: the Open Quantum Materials Database
Functional: PBE-GGA
Structure: relaxed

Cell: 3.6910 3.6910 9.1883 Å, 90.00 90.00 90.00°
With the nearest neighbours (Å) after each atom.
Space group I4/mmm (No. 139)
Inequivalent atoms, fractional coordinates:
Er1 0.0000 0.0000 0.0000 [2 per cell]  10 Ag 3.04
Ag1 0.0000 0.0000 0.3305 [4 per cell]  5 Ag 3.00-3.11, 5 Er 3.04

Computed properties:
ΔH_f (0 K), meV/atom: -341.5
Magnetic moment, μB/atom: 0.00
Total DFT energy (no corrections), eV per atom: -3.745
Calculated volume, Å³/atom: 20.9

=====

No. 6
Compound: Lu2FeGe
Source: the Open Quantum Materials Database
Functional: PBE-GGA
Structure: relaxed

Cell: 6.5822 6.5822 6.5822 Å, 90.00 90.00 90.00°
With the nearest neighbours (Å) after each atom.
Space group F-43m (No. 216)
Inequivalent atoms, fractional coordinates:
Lu1 0.0000 0.0000 0.0000 [4 per cell]  4 Fe 2.85, 4 Lu 2.85
Lu2 0.2500 0.2500 0.2500 [4 per cell]  4 Ge 2.85, 4 Lu 2.85
Fe1 0.2500 0.2500 0.7500 [4 per cell]  4 Ge 2.85, 4 Lu 2.85
Ge1 0.0000 0.0000 0.5000 [4 per cell]  4 Lu 2.85, 4 Fe 2.85

Computed properties:
Magnetic moment, μB/atom: 0.00
Total DFT energy (no corrections), eV per atom: -5.505
Calculated volume, Å³/atom: 17.8

=====

No. 7
Compound: DyAlPt
Source: the Open Quantum Materials Database
Functional: PBE-GGA
Structure: relaxed

Cell: 6.9059 4.4294 7.7524 Å, 90.00 90.00 90.00°
With the nearest neighbours (Å) after each atom.
Space group Pnma (No. 62)
Inequivalent atoms, fractional coordinates:
Dy1 0.0283 0.2500 0.1823 [4 per cell]  5 Pt 2.86-3.08, 3 Al 3.07-3.20
Al1 0.1465 0.2500 0.5646 [4 per cell]  4 Pt 2.61-2.67
Pt1 0.2273 0.7500 0.3850 [4 per cell]  4 Al 2.61-2.67, 1 Dy 2.86

Computed properties:
Magnetic moment, μB/atom: 0.00
Total DFT energy (no corrections), eV per atom: -5.963
Calculated volume, Å³/atom: 19.8

=====

No. 8
Compound: LiGdCo
Source: the Open Quantum Materials Database
Functional: PBE-GGA
Structure: relaxed

Cell: 6.3131 6.3131 6.3131 Å, 90.00 90.00 90.00°
With the nearest neighbours (Å) after each atom.
Space group F-43m (No. 216)
Inequivalent atoms, fractional coordinates:
Li1 0.0000 0.0000 0.0000 [4 per cell]  4 Gd 2.73
Gd1 0.2500 0.2500 0.7500 [4 per cell]  4 Li 2.73, 4 Co 2.73
Co1 0.0000 0.0000 0.5000 [4 per cell]  4 Gd 2.73

Computed properties:
Polymorph energy (0 for the lowest one), eV per formula unit: 0.79
Magnetic moment, μB/atom: 0.12
Total DFT energy (no corrections), eV per atom: -3.830
Calculated volume, Å³/atom: 21.0

=====

No. 9
Compound: HoErGe4Os2
Source: the Open Quantum Materials Database
Functional: PBE-GGA
Structure: relaxed

Cell: 4.4365 4.4417 8.2785 Å, 90.00 104.76 90.00°
With the nearest neighbours (Å) after each atom.
Space group Pm (No. 6)
Inequivalent atoms, fractional coordinates:
Ho1 0.0000 0.0000 0.0000 [1 per cell]  7 Ge 2.95-3.29, 3 Os 3.17-3.29
Er1 0.2386 0.5000 0.4196 [1 per cell]  7 Ge 2.95-3.30, 3 Os 3.16-3.28
Ge1 0.2947 0.0000 0.7179 [1 per cell]  4 Os 2.39-2.50
Ge2 0.5799 0.5000 0.1246 [1 per cell]  1 Os 2.41, 2 Ge 2.60
Ge3 0.6572 0.0000 0.2942 [1 per cell]  1 Os 2.40, 2 Ge 2.60
Ge4 0.9407 0.5000 0.7002 [1 per cell]  4 Os 2.39-2.50
Os1 0.5135 0.5000 0.8270 [1 per cell]  5 Ge 2.39-2.50
Os2 0.7217 0.0000 0.5912 [1 per cell]  5 Ge 2.39-2.50

Computed properties:
Magnetic moment, μB/atom: 0.00
Total DFT energy (no corrections), eV per atom: -6.693
Calculated volume, Å³/atom: 19.7

=====

No. 10
Compound: Sc2Ge2Pt
Source: the Open Quantum Materials Database
Functional: PBE-GGA
Structure: relaxed

Cell: 6.5327 6.5327 4.2037 Å, 90.00 90.00 90.00°
With the nearest neighbours (Å) after each atom.
Space group P4/mbm (No. 127)
Inequivalent atoms, fractional coordinates:
Sc1 0.1698 0.3302 0.0000 [4 per cell]  6 Ge 2.75-2.91
Ge1 0.1377 0.6377 0.5000 [4 per cell]  2 Pt 2.53, 1 Ge 2.54, 2 Sc 2.75
Pt1 0.0000 0.0000 0.5000 [2 per cell]  4 Ge 2.53

Computed properties:
Magnetic moment, μB/atom: 0.00
Total DFT energy (no corrections), eV per atom: -6.538
Calculated volume, Å³/atom: 17.9

=====

No. 11
Compound: LiBe2Nb
Source: the Open Quantum Materials Database
Functional: PBE-GGA
Structure: relaxed

Cell: 5.6699 5.6699 5.6699 Å, 90.00 90.00 90.00°
With the nearest neighbours (Å) after each atom.
Space group F-43m (No. 216)
Inequivalent atoms, fractional coordinates:
Li1 0.0000 0.0000 0.0000 [4 per cell]  4 Nb 2.46, 4 Be 2.46
Be1 0.0000 0.0000 0.5000 [4 per cell]  4 Be 2.46, 4 Nb 2.46
Be2 0.2500 0.2500 0.2500 [4 per cell]  4 Li 2.46, 4 Be 2.46
Nb1 0.2500 0.2500 0.7500 [4 per cell]  4 Li 2.46, 4 Be 2.46

Computed properties:
Magnetic moment, μB/atom: 0.00
Total DFT energy (no corrections), eV per atom: -4.593
Calculated volume, Å³/atom: 11.4

=====

No. 12
Compound: Ba2HfAlS6
Source: the Open Quantum Materials Database
Functional: PBE-GGA
Structure: relaxed

Cell: 9.7857 9.7857 9.7857 Å, 90.00 90.00 90.00°
With the nearest neighbours (Å) after each atom.
Space group Fm-3m (No. 225)
Inequivalent atoms, fractional coordinates:
Ba1 0.2500 0.2500 0.2500 [8 per cell]  12 S 3.46
Hf1 0.0000 0.0000 0.0000 [4 per cell]  6 S 2.51
Al1 0.0000 0.0000 0.5000 [4 per cell]  6 S 2.39
S1 0.0000 0.0000 0.2561 [24 per cell]  1 Al 2.39, 1 Hf 2.51

Computed properties:
Magnetic moment, μB/atom: 0.00
Total DFT energy (no corrections), eV per atom: -5.753
Calculated volume, Å³/atom: 23.4

=====

The lowest total DFT energy (no corrections) belongs to which entry? Ta14Ni

=====

What is the formula in the third record? LuTlCoPt

=====

What is the total DFT energy (no corrections) in the tenth record? -6.538 eV per atom

=====

The lowest calculated volume belongs to which entry? LiBe2Nb